1.
First-principles (PBE) data for a geometry-optimized LaNi3Pb structure, as listed in Alexandria via LeMat-Bulk.

Values from the calculation:
Energy above the lowest structure with this stoichiometry: 0.535 eV/atom
E_form: 0.95 eV/atom
Calculated volume: 113.40 Å³/f.u.
DOS(E_F): 4.23 states/eV per cell
Crystal system: cubic

a b c (Å): 4.8403 4.8403 4.8403
angles (deg): 90.00 90.00 90.00
Element x y z (fractional)
Ni 0.0000 0.5000 0.0000
Ni 0.0000 0.0000 0.5000
Ni 0.5000 0.0000 0.0000
Pb 0.5000 0.5000 0.5000
La 0.0000 0.0000 0.0000



2.
First-principles (PBE) data for a geometry-optimized LaNiPb2 structure, as listed in Alexandria via LeMat-Bulk.

Values from the calculation:
Energy above the lowest structure with this stoichiometry: 0.198 eV/atom
E_form: -0.08 eV/atom
Calculated volume: 98.69 Å³/f.u.
DOS(E_F): 3.65 states/eV per cell
Crystal system: orthorhombic

a b c (Å): 3.5397 3.5397 7.9245
angles (deg): 90.00 90.00 96.28
Element x y z (fractional)
Pb 0.0000 0.0000 0.9466
Pb 0.0000 0.0000 0.5534
La 0.5000 0.5000 0.2500
Ni 0.5000 0.5000 0.7500



3.
First-principles (PBE) data for a geometry-optimized La2NiPb structure, as listed in Alexandria via LeMat-Bulk.

Values from the calculation:
E_form: 0.03 eV/atom
Calculated volume: 102.16 Å³/f.u.
DOS(E_F): 5.50 states/eV per cell
Crystal system: cubic

a b c (Å): 5.2473 5.2473 5.2473
angles (deg): 60.00 60.00 60.00
Element x y z (fractional)
Pb 0.7500 0.7500 0.7500
Ni 0.5000 0.5000 0.5000
La 0.0000 0.0000 0.0000
La 0.2500 0.2500 0.2500



4.
First-principles (PBE) data for a geometry-optimized LaNiPb2 structure, as listed in Alexandria via LeMat-Bulk.

Values from the calculation:
Energy above the lowest structure with this stoichiometry: 0.134 eV/atom
E_form: -0.15 eV/atom
Calculated volume: 102.54 Å³/f.u.
DOS(E_F): 3.70 states/eV per cell
Crystal system: orthorhombic

a b c (Å): 6.1606 6.1606 6.1606
angles (deg): 147.55 124.18 66.06
Element x y z (fractional)
Pb 0.0454 0.0454 0.0000
Pb 0.4546 0.4546 0.0000
Ni 0.2500 0.7500 0.5000
La 0.7500 0.2500 0.5000



5.
First-principles (PBE) data for a geometry-optimized LaNiPb2 structure, as listed in Alexandria via LeMat-Bulk.

Values from the calculation:
Energy above the lowest structure with this stoichiometry: 0.327 eV/atom
E_form: 0.05 eV/atom
Calculated volume: 112.51 Å³/f.u.
DOS(E_F): 2.36 states/eV per cell
Crystal system: monoclinic

a b c (Å): 6.5843 6.5843 4.3023
angles (deg): 71.53 71.53 124.54
Element x y z (fractional)
Ni 0.0000 0.5000 0.5000
Pb 0.5000 0.5000 0.0000
Pb 0.0000 0.0000 0.0000
La 0.5000 0.0000 0.5000



6.
First-principles (PBE) data for a geometry-optimized La5NiPb3 structure, as listed in Alexandria via LeMat-Bulk.

Values from the calculation:
E_form: -0.55 eV/atom
Calculated volume: 290.76 Å³/f.u.
DOS(E_F): 14.90 states/eV per cell
Crystal system: hexagonal

a b c (Å): 9.6722 9.6722 7.1777
angles (deg): 90.00 90.00 120.00
Element x y z (fractional)
Pb 0.0000 0.4005 0.7500
Pb 0.4005 0.4005 0.2500
Pb 0.4005 0.0000 0.7500
Pb 0.5995 0.5995 0.7500
Pb 0.0000 0.5995 0.2500
Pb 0.5995 0.0000 0.2500
La 0.7614 0.7614 0.2500
La 0.6667 0.3333 0.5000
La 0.7614 0.0000 0.7500
La 0.3333 0.6667 0.0000
La 0.0000 0.2386 0.2500
La 0.6667 0.3333 0.0000
La 0.2386 0.2386 0.7500
La 0.3333 0.6667 0.5000
La 0.0000 0.7614 0.7500
La 0.2386 0.0000 0.2500
Ni 0.0000 0.0000 0.0000
Ni 0.0000 0.0000 0.5000



7.
First-principles (PBE) data for a geometry-optimized La5Ni2Pb structure, as listed in Alexandria via LeMat-Bulk.

Values from the calculation:
E_form: -0.35 eV/atom
Calculated volume: 230.54 Å³/f.u.
DOS(E_F): 14.90 states/eV per cell
Crystal system: tetragonal

a b c (Å): 8.1251 8.1251 9.0437
angles (deg): 116.69 116.69 90.00
Element x y z (fractional)
La 0.4787 0.2922 0.2709
La 0.0000 0.0000 0.0000
La 0.7922 0.9787 0.2709
La 0.7078 0.2078 0.7291
La 0.5000 0.5000 0.0000
La 0.5213 0.7078 0.7291
La 0.0213 0.5213 0.7291
La 0.2922 0.7922 0.2709
La 0.2078 0.0213 0.7291
La 0.9787 0.4787 0.2709
Ni 0.3737 0.8737 0.0000
Ni 0.8737 0.6263 0.0000
Ni 0.1263 0.3737 0.0000
Ni 0.6263 0.1263 0.0000
Pb 0.2500 0.2500 0.5000
Pb 0.7500 0.7500 0.5000



8.
First-principles (PBE) data for a geometry-optimized La2NiPb structure, as listed in Alexandria via LeMat-Bulk.

Values from the calculation:
E_form: -0.40 eV/atom
Calculated volume: 108.33 Å³/f.u.
DOS(E_F): 2.96 states/eV per cell
Crystal system: monoclinic

a b c (Å): 3.6020 3.6123 9.1132
angles (deg): 66.01 90.00 90.00
Element x y z (fractional)
La 0.0000 0.5534 0.4548
La 0.0000 0.9466 0.0452
Pb 0.5000 0.7500 0.7500
Ni 0.5000 0.2500 0.2500



| no. | total magnetization (μB/f.u.) |
| --- | --- |
| 1 | 0.0 |
| 2 | 0.0 |
| 3 | 0.0 |
| 4 | 0.0 |
| 5 | 0.0 |
| 6 | 0.0 |
| 7 | 0.0 |
| 8 | 0.0 |